VASP calculation (PBE-GGA) on a relaxed ThNi3Sb crystal.

Unit cell a=5.1986 b=7.1910 c=5.0617 alpha=90.00 beta=90.00 gamma=90.00
Closest atoms and distances in Å follow each position.
Space group Pbam (No. 55)
One atom of each set of equivalent atoms:
Th1 0.0000 0.0000 0.0000 (multiplicity 2)  6 Ni 2.60-2.82
Ni1 0.0000 0.5000 0.0000 (multiplicity 2)  2 Sb 2.53, 2 Th 2.60
Ni2 0.0671 0.1658 0.5000 (multiplicity 4)  2 Sb 2.43-2.55, 1 Ni 2.48
Sb1 0.0000 0.5000 0.5000 (multiplicity 2)  6 Ni 2.43-2.55

Energy relative to the elements, uncorrected (eV per atom): -0.1141